No. 1
Below is a geometry-optimized In9Hg2Bi4 structure, with properties calculated at the GGA-PBE level.

Energy of formation from the pure elements in meV per atom: 25
Spin magnetization in Bohr magnetons per cell: 0.0
Density in g/cm³: 8.66
Space group: No. 12

a b c (Å): 5.3474 5.3598 17.5350
angles (deg): 90.35 89.98 119.92
Positions (direct):
In 0.6664 0.3326 0.4292
In 0.0000 0.0000 0.5000
In 0.6677 0.3355 0.0163
In 0.0000 0.0001 0.7135
In 0.3323 0.6645 0.9837
In 0.0000 0.9999 0.2865
In 0.0015 0.0031 0.0932
In 0.9985 0.9969 0.9068
In 0.3336 0.6674 0.5708
Hg 0.6674 0.3347 0.2267
Hg 0.3326 0.6653 0.7733
Bi 0.6665 0.3332 0.6193
Bi 0.3350 0.6703 0.1738
Bi 0.3335 0.6668 0.3807
Bi 0.6650 0.3297 0.8262

No. 2
Below is a geometry-optimized Ca2YMn structure, with properties calculated at the GGA-PBE level.

Excess energy over the best structure of this formula in the dataset in kJ/mol of formula units: 502
Energy of formation from the pure elements in meV per atom: 1476
Spin magnetization in Bohr magnetons per cell: 0.0
Density in g/cm³: 2.71
Space group: No. 227

a b c (Å): 7.2888 7.2888 7.2917
angles (deg): 60.01 60.01 90.00
Positions (direct):
Ca 0.3744 0.1250 0.2500
Ca 0.8750 0.6244 0.7500
Ca 0.3756 0.6250 0.2500
Ca 0.3750 0.6256 0.7500
Y 0.7500 0.2500 0.5000
Y 0.0000 0.0000 0.0000
Mn 0.5000 0.5000 0.0000
Mn 0.2500 0.7500 0.5000